No. 1
Entry from Alexandria: LiMg3 after structural relaxation (GGA-PBEsol).

a b c (Å): 4.8052 4.8052 3.6471
angles (deg): 90.00 90.00 90.00
Sites, in units of the cell vectors:
Li 0.0000 0.0000 0.0000
Mg 0.0000 0.5000 0.5000
Mg 0.5000 0.0000 0.5000
Mg 0.5000 0.5000 0.0000

DFT formation energy	-0.03	eV/atom
space group	No. 123
N(E_F)	0.349	states/eV per atom

=====

No. 2
Entry from Alexandria: SrZrSe3 after structural relaxation (GGA-PBEsol).

a b c (Å): 8.8229 3.9255 14.4029
angles (deg): 90.00 90.00 90.00
Sites, in units of the cell vectors:
Sr 0.0622 0.2500 0.1771
Sr 0.4378 0.7500 0.6771
Sr 0.5622 0.2500 0.3229
Sr 0.9378 0.7500 0.8229
Zr 0.1680 0.7500 0.4420
Zr 0.3320 0.2500 0.9420
Zr 0.6680 0.7500 0.0580
Zr 0.8320 0.2500 0.5580
Se 0.0245 0.7500 0.6097
Se 0.1586 0.7500 0.0117
Se 0.2089 0.2500 0.7796
Se 0.2911 0.7500 0.2796
Se 0.3414 0.2500 0.5117
Se 0.4755 0.2500 0.1097
Se 0.5245 0.7500 0.8903
Se 0.6586 0.7500 0.4883
Se 0.7089 0.2500 0.7204
Se 0.7911 0.7500 0.2204
Se 0.8414 0.2500 0.9883
Se 0.9755 0.2500 0.3903

raw formation energy	-8.131	eV per formula unit
space group	No. 62
N(E_F)	0.023	states/eV per atom

=====

No. 3
Entry from Alexandria: Ag2TeIr after structural relaxation (GGA-PBEsol).

a b c (Å): 3.1175 5.0599 4.5678
angles (deg): 90.00 90.35 90.00
Sites, in units of the cell vectors:
Ag 0.2443 0.0000 0.2430
Ag 0.7557 0.0000 0.7570
Te 0.0000 0.5000 0.5000
Ir 0.5000 0.5000 0.0000

raw formation energy	1.539	eV per formula unit
space group	No. 10
N(E_F)	0.503	states/eV per atom

=====

No. 4
Entry from Alexandria: Ta2SiIr after structural relaxation (GGA-PBEsol).

a b c (Å): 2.8233 4.0374 5.3560
angles (deg): 90.00 90.00 90.00
Sites, in units of the cell vectors:
Ta 0.0000 0.0000 0.2471
Ta 0.0000 0.0000 0.7529
Si 0.5000 0.5000 0.0000
Ir 0.5000 0.5000 0.5000

raw formation energy	-1.985	eV per formula unit
space group	No. 47
N(E_F)	0.604	states/eV per atom

=====

No. 5
Entry from Alexandria: BeSi2Ir after structural relaxation (GGA-PBEsol).

a b c (Å): 2.8028 2.8028 7.8428
angles (deg): 90.00 90.00 121.93
Sites, in units of the cell vectors:
Be 0.0000 0.0000 0.0000
Si 0.5000 0.5000 0.2394
Si 0.5000 0.5000 0.7606
Ir 0.0000 0.0000 0.5000

raw formation energy	0.572	eV per formula unit
space group	No. 65
N(E_F)	0.297	states/eV per atom

=====

No. 6
Entry from Alexandria: KCaMnTl2 after structural relaxation (GGA-PBEsol).

a b c (Å): 5.2166 5.2166 5.2684
angles (deg): 90.00 90.00 90.00
Sites, in units of the cell vectors:
K 0.0000 0.0000 0.0000
Ca 0.5000 0.5000 0.0000
Mn 0.5000 0.5000 0.5000
Tl 0.0000 0.5000 0.5000
Tl 0.5000 0.0000 0.5000

DFT formation energy	0.21	eV/atom
space group	No. 123
N(E_F)	0.656	states/eV per atom

=====

No. 7
Entry from Alexandria: YIrRh after structural relaxation (GGA-PBEsol).

a b c (Å): 5.2387 5.2387 5.2387
angles (deg): 141.86 141.86 55.04
Sites, in units of the cell vectors:
Y 0.0000 0.0000 0.0000
Ir 0.6931 0.6931 0.0000
Rh 0.2999 0.2999 0.0000

DFT formation energy	-0.18	eV/atom
space group	No. 107
N(E_F)	1.646	states/eV per atom

=====

No. 8
Entry from Alexandria: K3NaN after structural relaxation (GGA-PBEsol).

a b c (Å): 5.6727 5.6727 5.6727
angles (deg): 90.00 90.00 90.00
Sites, in units of the cell vectors:
K 0.0000 0.0000 0.5000
K 0.0000 0.5000 0.0000
K 0.5000 0.0000 0.0000
Na 0.5000 0.5000 0.5000
N 0.0000 0.0000 0.0000

raw formation energy	2.001	eV per formula unit
space group	No. 221
N(E_F)	0.981	states/eV per atom

=====

No. 9
Entry from Alexandria: SnPdRu2O after structural relaxation (GGA-PBEsol).

a b c (Å): 4.9508 4.9508 3.8939
angles (deg): 90.00 90.00 90.00
Sites, in units of the cell vectors:
Sn 0.0000 0.0000 0.0000
Pd 0.5000 0.5000 0.5000
Ru 0.0000 0.5000 0.0000
Ru 0.5000 0.0000 0.0000
O 0.0000 0.0000 0.5000

raw formation energy	7.599	eV per formula unit
space group	No. 123
N(E_F)	1.573	states/eV per atom

=====

No. 10
Entry from Alexandria: Co2SiB after structural relaxation (GGA-PBEsol).

a b c (Å): 3.7047 3.7047 3.7047
angles (deg): 60.00 60.00 60.00
Sites, in units of the cell vectors:
Co 0.2500 0.2500 0.2500
Co 0.7500 0.7500 0.7500
Si 0.0000 0.0000 0.0000
B 0.5000 0.5000 0.5000

raw formation energy	-1.004	eV per formula unit
space group	No. 225
N(E_F)	0.417	states/eV per atom

=====

No. 11
Entry from Alexandria: MoPRh2 after structural relaxation (GGA-PBEsol).

a b c (Å): 2.8251 4.3628 4.3732
angles (deg): 90.00 90.00 90.00
Sites, in units of the cell vectors:
Mo 0.0000 0.0000 0.0000
P 0.5000 0.5000 0.0000
Rh 0.0000 0.5000 0.5000
Rh 0.5000 0.0000 0.5000

DFT formation energy	-0.17	eV/atom
space group	No. 47
N(E_F)	0.698	states/eV per atom

=====

No. 12
Entry from Alexandria: Li2CaTa after structural relaxation (GGA-PBEsol).

a b c (Å): 2.9080 2.9080 9.5944
angles (deg): 90.00 90.00 90.00
Sites, in units of the cell vectors:
Li 0.0000 0.0000 0.2215
Li 0.0000 0.0000 0.7785
Ca 0.5000 0.5000 0.5000
Ta 0.5000 0.5000 0.0000

DFT formation energy	0.58	eV/atom
space group	No. 123
N(E_F)	1.019	states/eV per atom

=====

No. 13
Entry from Alexandria: MnSiPt after structural relaxation (GGA-PBEsol).

a b c (Å): 4.1176 4.1176 2.7992
angles (deg): 90.00 90.00 120.00
Sites, in units of the cell vectors:
Mn 0.0000 0.0000 0.0000
Si 0.6667 0.3333 0.5000
Pt 0.3333 0.6667 0.5000

raw formation energy	-1.334	eV per formula unit
space group	No. 187
N(E_F)	0.473	states/eV per atom

=====

No. 14
Entry from Alexandria: MnBi3O after structural relaxation (GGA-PBEsol).

a b c (Å): 4.8514 4.8514 4.8514
angles (deg): 90.00 90.00 90.00
Sites, in units of the cell vectors:
Mn 0.0000 0.0000 0.0000
Bi 0.0000 0.5000 0.5000
Bi 0.5000 0.0000 0.5000
Bi 0.5000 0.5000 0.0000
O 0.5000 0.5000 0.5000

raw formation energy	0.623	eV per formula unit
space group	No. 221
N(E_F)	0.564	states/eV per atom

=====

No. 15
Entry from Alexandria: TaSiIr2 after structural relaxation (GGA-PBEsol).

a b c (Å): 2.8389 2.8389 7.0169
angles (deg): 90.00 90.00 90.00
Sites, in units of the cell vectors:
Ta 0.0000 0.0000 0.0000
Si 0.0000 0.0000 0.5000
Ir 0.5000 0.5000 0.2888
Ir 0.5000 0.5000 0.7112

raw formation energy	-2.785	eV per formula unit
space group	No. 123
N(E_F)	0.388	states/eV per atom

=====

No. 16
Entry from Alexandria: LaCd2Ir after structural relaxation (GGA-PBEsol).

a b c (Å): 5.2582 5.2582 5.9836
angles (deg): 124.17 124.17 44.65
Sites, in units of the cell vectors:
La 0.0000 0.0000 0.0000
Cd 0.1670 0.1670 0.6616
Cd 0.4063 0.4063 0.4751
Ir 0.7336 0.7336 0.0531

DFT formation energy	-0.25	eV/atom
space group	No. 8
N(E_F)	0.513	states/eV per atom

=====

No. 17
Entry from Alexandria: SrMo4W after structural relaxation (GGA-PBEsol).

a b c (Å): 5.3302 5.3302 5.3302
angles (deg): 60.00 60.00 60.00
Sites, in units of the cell vectors:
Sr 0.0000 0.0000 0.0000
Mo 0.1262 0.6246 0.6246
Mo 0.6246 0.1262 0.6246
Mo 0.6246 0.6246 0.1262
Mo 0.6246 0.6246 0.6246
W 0.2500 0.2500 0.2500

DFT formation energy	0.72	eV/atom
space group	No. 216
N(E_F)	0.464	states/eV per atom

=====

No. 18
Entry from Alexandria: CoSF3 after structural relaxation (GGA-PBEsol).

a b c (Å): 3.9782 3.9782 3.9782
angles (deg): 90.00 90.00 90.00
Sites, in units of the cell vectors:
Co 0.0000 0.0000 0.0000
S 0.5000 0.5000 0.5000
F 0.0000 0.0000 0.5000
F 0.0000 0.5000 0.0000
F 0.5000 0.0000 0.0000

raw formation energy	-3.697	eV per formula unit
space group	No. 221
N(E_F)	1.200	states/eV per atom

=====

No. 19
Entry from Alexandria: Hf3BeGe after structural relaxation (GGA-PBEsol).

a b c (Å): 4.8563 4.8563 4.8563
angles (deg): 90.00 90.00 90.00
Sites, in units of the cell vectors:
Hf 0.0000 0.0000 0.5000
Hf 0.0000 0.5000 0.0000
Hf 0.5000 0.0000 0.0000
Be 0.5000 0.5000 0.5000
Ge 0.0000 0.0000 0.0000

DFT formation energy	0.73	eV/atom
space group	No. 221
N(E_F)	0.472	states/eV per atom

=====

No. 20
Entry from Alexandria: BaTlP3 after structural relaxation (GGA-PBEsol).

a b c (Å): 5.1358 5.1358 5.1358
angles (deg): 90.00 90.00 90.00
Sites, in units of the cell vectors:
Ba 0.0000 0.0000 0.0000
Tl 0.5000 0.5000 0.5000
P 0.0000 0.5000 0.5000
P 0.5000 0.0000 0.5000
P 0.5000 0.5000 0.0000

DFT formation energy	0.40	eV/atom
space group	No. 221
N(E_F)	1.018	states/eV per atom

=====

no.,M_tot (μB per atom)
1,0.0000
2,0.0000
3,0.0000
4,0.0000
5,0.0001
6,0.3806
7,0.0005
8,0.2010
9,0.8980
10,0.2774
11,0.0000
12,0.0002
13,1.1031
14,0.7516
15,0.0000
16,0.0001
17,0.0001
18,1.2013
19,0.0000
20,0.0001